VASP calculation (PBE-GGA) on an optimized crystal structure of SmNbFe.

Cell and atoms, written as extended XYZ:
```
3
Lattice="2.970 -3.109 1.464 0.629 -0.619 4.455 -1.487 -3.798 1.997" Properties=species:S:1:pos:R:3 pbc="T T T"
Nb 1.584 -5.645 5.937
Sm 0.000 0.000 0.000
Fe 0.528 -1.882 1.979
```

Computed properties:
SG: F-43m, No. 216
Formation energy from the elements, eV/atom: 1.4963
Energy above the lowest structure with this stoichiometry, eV per atom: 0.987